Density functional theory data (PBE) for Sm2ThZn2Sn2 after structural relaxation.

Calculated values
SG: R-3m (166)
Calculated volume (Å³/atom): 27.354
Calculated formation energy (eV per formula unit): -2.38

```
Sm2ThZn2Sn2
1.0
2.218 1.281 11.232
-2.218 1.281 11.232
0.000 -2.562 11.232
Sm Th Zn Sn
2 1 2 2
Direct
0.127 0.127 0.127
0.873 0.873 0.873
0.000 0.000 0.000
0.385 0.385 0.385
0.615 0.615 0.615
0.262 0.262 0.262
0.738 0.738 0.738
```